Below is an optimized crystal structure of PrGdGePt, with properties calculated at the PBE level.

## Properties
* total energy: -8.2346 eV/atom
* total moment: 1.784 μB per atom
* energy of formation: -855 meV/atom
* theoretical density: 9.81 g/cm³

POSCAR file:
```
PrGdGePt
1.0
5.136 0.000 0.000
2.568 4.448 0.000
2.568 1.483 4.193
Ge Pr Gd Pt
1 1 1 1
Direct
0.250 0.250 0.250
0.500 0.500 0.500
0.000 0.000 0.000
0.750 0.750 0.750
```



Below is an optimized crystal structure of LaCd2Cl, with properties calculated at the PBE level.

## Properties
* total energy: -2.4134 eV/atom
* total moment: 0.000 μB per atom
* raw formation energy: -25.31 kJ per mole of atoms
* offset from the most stable computed form: 47.0 kJ per mole of atoms
* theoretical density: 5.89 g/cm³

POSCAR file:
```
LaCd2Cl
1.0
1.750 -4.857 1.644
-2.306 -2.407 4.272
-3.107 -4.382 -0.709
Cd Cl La
2 1 1
Direct
0.250 0.250 0.250
0.750 0.750 0.750
0.000 0.000 0.000
0.500 0.500 0.500
```



Below is an optimized crystal structure of Na5B7C3, with properties calculated at the PBE level.

## Properties
* total energy: -5.2878 eV/atom
* total moment: 0.000 μB per atom
* offset from the most stable computed form: 0.0 kJ per mole of atoms
* energy of formation: 113 meV/atom
* theoretical density: 2.41 g/cm³

POSCAR file:
```
Na5B7C3
1.0
-7.224 0.458 9.129
-9.095 -0.495 7.263
4.405 -9.025 0.193
Na B C
10 14 6
Direct
0.900 0.900 0.297
0.598 0.598 0.198
0.100 0.100 0.703
0.402 0.402 0.802
0.802 0.802 0.601
0.301 0.301 0.096
0.198 0.198 0.399
0.500 0.500 0.500
0.000 0.000 0.000
0.699 0.699 0.904
0.684 0.684 0.620
0.009 0.009 0.266
0.076 0.076 0.402
0.586 0.586 0.924
0.620 0.620 0.491
0.991 0.991 0.734
0.820 0.820 0.890
0.180 0.180 0.110
0.380 0.380 0.509
0.228 0.228 0.708
0.772 0.772 0.292
0.316 0.316 0.380
0.414 0.414 0.076
0.924 0.924 0.598
0.288 0.288 0.828
0.478 0.478 0.202
0.522 0.522 0.798
0.117 0.117 0.987
0.712 0.712 0.172
0.883 0.883 0.013
```



Below is an optimized crystal structure of ErTc2B4, with properties calculated at the PBE level.

## Properties
* total energy: -7.8742 eV/atom
* total moment: 0.000 μB per atom
* energy of formation: -445 meV/atom
* theoretical density: 9.03 g/cm³

POSCAR file:
```
ErTc2B4
1.0
0.630 -1.144 -2.763
0.356 -3.256 1.430
-7.151 1.020 -0.363
Er B Tc
1 4 2
Direct
0.500 0.000 0.000
0.649 0.649 0.298
0.351 0.351 0.702
0.914 0.414 0.829
0.086 0.586 0.171
0.813 0.813 0.626
0.187 0.187 0.374
```



Below is an optimized crystal structure of Np2MnP2H4, with properties calculated at the PBE level.

## Properties
* total energy: -6.8026 eV/atom
* total moment: 0.560 μB per atom
* theoretical density: 8.95 g/cm³

POSCAR file:
```
Np2MnP2H4
1.0
5.396 -0.085 -0.123
-2.665 4.693 0.123
-2.665 -1.534 4.437
H P Np Mn
4 2 2 1
Direct
0.443 0.222 0.222
0.000 0.222 0.778
0.000 0.778 0.222
0.557 0.778 0.778
0.000 0.704 0.704
0.000 0.296 0.296
0.500 0.750 0.250
0.500 0.250 0.750
0.000 0.000 0.000
```



Below is an optimized crystal structure of Ba6P2OF3, with properties calculated at the PBE level.

## Properties
* total energy: -4.9069 eV/atom
* total moment: 0.000 μB per atom
* raw formation energy: -208.68 kJ per mole of atoms
* theoretical density: 4.85 g/cm³

POSCAR file:
```
Ba6P2OF3
1.0
-2.051 -5.944 4.049
7.077 0.675 -2.324
-0.146 5.120 5.109
O Ba F P
1 6 3 2
Direct
0.000 0.000 0.000
0.778 0.778 0.237
0.603 0.914 0.747
0.086 0.397 0.253
0.914 0.603 0.747
0.397 0.086 0.253
0.222 0.222 0.763
0.172 0.828 0.500
0.500 0.500 0.500
0.828 0.172 0.500
0.332 0.668 0.000
0.668 0.332 0.000
```



Below is an optimized crystal structure of ReOsI2O, with properties calculated at the PBE level.

## Properties
* total energy: -5.3412 eV/atom
* total moment: 0.036 μB per atom
* raw formation energy: 97.07 kJ per mole of atoms
* offset from the most stable computed form: 0.0 kJ per mole of atoms
* theoretical density: 10.09 g/cm³

POSCAR file:
```
ReOsI2O
1.0
5.386 0.000 0.000
0.000 5.386 0.000
0.000 0.000 3.667
I O Os Re
2 1 1 1
Direct
0.000 0.500 0.000
0.500 0.000 0.000
0.000 0.000 0.500
0.500 0.500 0.500
0.000 0.000 0.000
```



Below is an optimized crystal structure of Th3Co7Ge2, with properties calculated at the PBE level.

## Properties
* total energy: -6.8786 eV/atom
* total moment: 0.271 μB per atom
* offset from the most stable computed form: 8.7 kJ per mole of atoms
* energy of formation: -109 meV/atom
* theoretical density: 9.94 g/cm³

POSCAR file:
```
Th3Co7Ge2
1.0
-2.214 2.422 -1.765
-2.578 -2.767 -0.563
-5.159 4.793 13.045
Co Ge Th
7 2 3
Direct
0.000 0.375 0.750
0.000 0.182 0.363
0.000 0.818 0.637
0.500 0.873 0.746
0.500 0.127 0.254
0.000 0.000 0.000
0.000 0.625 0.250
0.000 0.922 0.845
0.000 0.078 0.155
0.500 0.300 0.600
0.500 0.500 0.000
0.500 0.700 0.400
```